(1)
Entry from Alexandria via LeMat-Bulk: a relaxed structure of Ta2Tl2NiTe6 (GGA-PBE).

Calculated values
space group: C2/m, No. 12
VASP energy: -4.99 eV per atom
E_form (uncorrected): -16 kJ per mole of atoms

```
Ta2Tl2NiTe6
1.0
6.8831 -0.1678 -0.0585
-3.5479 5.9007 -0.0585
-1.3306 -2.2872 8.3149
Te Ni Tl Ta
6 1 2 2
Cartesian
0.4234 0.7277 2.7508
1.5813 2.7180 5.4472
-1.7014 0.7856 5.8363
3.7060 2.6601 2.3617
0.4807 4.5365 2.3617
1.5239 -1.0908 5.8363
-0.6653 -1.1436 4.1574
-1.9379 4.9640 -0.0585
5.2732 0.7688 -0.0585
3.0111 0.5542 4.0990
-1.0064 2.8915 4.0990
```



(2)
Entry from Alexandria via LeMat-Bulk: a relaxed structure of KTaTl (GGA-PBE).

Calculated values
ΔE to the lowest computed polymorph: 81.1 meV/atom
space group: Imm2, No. 44
VASP energy: -4.21 eV per atom

```
KTaTl
1.0
-6.6504 1.1865 -2.3086
-4.7481 -3.8712 -3.6653
4.3814 1.4860 5.4370
Tl Ta K
1 1 1
Cartesian
-8.1722 -1.9248 -4.2830
-3.1995 -0.7536 -1.6768
-0.0268 -0.0063 -0.0141
```



(3)
Entry from Alexandria via LeMat-Bulk: a relaxed structure of PrPu2Si (GGA-PBE).

Calculated values
ΔE to the lowest computed polymorph: 58.4 meV/atom
space group: P4/mmm, No. 123
VASP energy: -9.83 eV per atom
E_form (uncorrected): -11 kJ per mole of atoms

```
PrPu2Si
1.0
-0.4409 2.2059 3.0790
-0.9125 -3.0704 2.0690
6.6650 -0.9021 1.6007
Pr Pu Si
1 2 1
Cartesian
2.6558 -0.8833 3.3744
1.3246 -0.1793 0.3181
5.3404 -0.7228 1.2826
-0.6767 -0.4323 2.5740
```



(4)
Entry from Alexandria via LeMat-Bulk: a relaxed structure of Pm2NiGe4Au3 (GGA-PBE).

Calculated values
space group: P-4m2, No. 115
VASP energy: -4.90 eV per atom

```
Pm2NiGe4Au3
1.0
-2.7359 3.2660 0.5880
-3.3161 -2.6622 -0.6430
-0.3137 -2.1763 10.6281
Ge Au Ni Pm
4 3 1 2
Cartesian
-3.0260 0.3019 -0.0275
-1.5636 0.2759 6.9215
0.0000 0.0000 0.0000
-1.7761 -2.1503 3.6792
-1.7034 -1.6457 1.2148
-1.6363 -0.2288 9.3858
-0.1568 -1.0882 5.3141
-3.1829 -0.7863 5.2866
-1.4530 1.0431 3.1745
-1.8867 -2.9176 7.4262
```



(5)
Entry from Alexandria via LeMat-Bulk: a relaxed structure of HgPd3Pb (GGA-PBE).

Calculated values
ΔE to the lowest computed polymorph: 748.5 meV/atom
space group: Pm-3m, No. 221
VASP energy: -3.28 eV per atom

```
HgPd3Pb
1.0
5.0555 0.0000 0.0000
0.0000 5.0555 0.0000
0.0000 0.0000 5.0555
Pd Hg Pb
3 1 1
Cartesian
0.0000 2.5278 0.0000
2.5278 0.0000 0.0000
0.0000 0.0000 2.5278
0.0000 0.0000 0.0000
2.5278 2.5278 2.5278
```



(6)
Entry from Alexandria via LeMat-Bulk: a relaxed structure of FeAgBr2 (GGA-PBE).

Calculated values
ΔE to the lowest computed polymorph: 54.9 meV/atom
space group: R3m, No. 160
VASP energy: -3.64 eV per atom
E_form (uncorrected): 3 kJ per mole of atoms

```
FeAgBr2
1.0
-1.7571 6.0029 5.6168
-4.2825 3.3417 6.4159
-0.7929 3.0882 7.7785
Ag Fe Br
1 1 2
Cartesian
-5.1919 9.4475 15.0542
-3.3890 6.1669 9.8267
-1.4854 2.7029 4.3069
-0.1824 0.3320 0.5290
```



(7)
Entry from Alexandria via LeMat-Bulk: a relaxed structure of Cr2ReBr (GGA-PBE).

Calculated values
ΔE to the lowest computed polymorph: 752.6 meV/atom
space group: Fm-3m, No. 225
VASP energy: -7.22 eV per atom
E_form (uncorrected): 109 kJ per mole of atoms

```
Cr2ReBr
1.0
2.5458 -1.0508 3.3175
-1.5151 0.2103 4.0313
-0.7353 -3.6234 2.2185
Re Cr Br
1 2 1
Cartesian
0.1477 -2.2320 4.7837
0.0739 -1.1160 2.3918
0.2216 -3.3480 7.1755
0.0000 0.0000 0.0000
```



(8)
Entry from Alexandria via LeMat-Bulk: a relaxed structure of BaCa3Rh (GGA-PBE).

Calculated values
ΔE to the lowest computed polymorph: 25.2 meV/atom
space group: P2_1/m, No. 11
VASP energy: -3.26 eV per atom

```
BaCa3Rh
1.0
-4.5546 5.0118 1.1933
-0.3763 -2.0000 6.9636
5.5983 4.6428 1.6360
Ca Ba Rh
6 2 2
Cartesian
3.7814 3.8019 1.3224
3.5958 2.8157 4.7561
2.0495 6.6049 3.8974
-2.9284 4.8389 5.0368
-1.3821 1.0497 5.8956
-3.1140 3.8527 8.4706
0.1704 3.2785 2.8404
0.4970 4.3761 6.9525
1.3674 1.5234 6.1802
-0.7000 6.1312 3.6127
```



> Which of these has the highest VASP energy?

BaCa3Rh



> Which value of VASP energy does entry 1 give?

-4.99 eV per atom



> Number 5 is which compound?

HgPd3Pb